# 1
NaLi2LaPt after structural relaxation, computed with PBE.

crystal system = tetragonal
total moment = 0.002 Bohr magnetons per cell
energy = -3.45 eV/atom

Cell lengths 5.1926, 5.1926, 5.4084 Å; angles 90.00, 90.00, 90.00 degrees
Space group P4/mmm (No. 123)
Symmetry-distinct sites (fractional):
Na  0.0000  0.0000  0.0000 x1
Li  0.0000  0.5000  0.5000 x2
La  0.5000  0.5000  0.0000 x1
Pt  0.5000  0.5000  0.5000 x1



# 2
ErInAgAu after structural relaxation, computed with PBE.

crystal system = cubic
total moment = 0.000 Bohr magnetons per cell
energy = -3.90 eV/atom

Cell lengths 6.9502, 6.9502, 6.9502 Å; angles 90.00, 90.00, 90.00 degrees
Space group F-43m (No. 216)
Symmetry-distinct sites (fractional):
Er  0.0000  0.0000  0.0000 x4
In  0.0000  0.0000  0.5000 x4
Ag  0.2500  0.2500  0.2500 x4
Au  0.2500  0.2500  0.7500 x4



# 3
Dy2TmBe after structural relaxation, computed with PBE.

crystal system = trigonal
total moment = 0.000 Bohr magnetons per cell
energy = -3.68 eV/atom

Cell lengths 3.3980, 3.3980, 34.0159 Å; angles 90.00, 90.00, 120.00 degrees
Space group R-3m (No. 166, hexagonal axes)
Symmetry-distinct sites (fractional):
Dy  0.0000  0.0000  0.0847 x6
Tm  0.0000  0.0000  0.5000 x3
Be  0.0000  0.0000  0.0000 x3



# 4
Ce7Rh2Pb2 after structural relaxation, computed with PBE.

crystal system = monoclinic
total moment = 11.674 Bohr magnetons per cell
energy = -6.07 eV/atom

Cell lengths 11.5959, 8.1613, 6.7514 Å; angles 90.00, 90.10, 90.00 degrees
Space group C2/m (No. 12)
Symmetry-distinct sites (fractional):
Ce  0.0000  0.0000  0.0000 x2
Ce  0.0000  0.5000  0.2025 x4
Ce  0.2497  0.2500  0.2763 x8
Rh  0.2353  0.5000  0.9997 x4
Pb  0.0000  0.1848  0.5000 x4



# 5
MnCoAs after structural relaxation, computed with PBE.

crystal system = orthorhombic
total moment = 0.000 Bohr magnetons per cell
energy = -7.05 eV/atom

Cell lengths 5.4541, 3.7526, 6.9977 Å; angles 90.00, 90.00, 90.00 degrees
Space group Pnma (No. 62)
Symmetry-distinct sites (fractional):
Mn  0.0316  0.2500  0.1960 x4
Co  0.1507  0.2500  0.5633 x4
As  0.2329  0.2500  0.8862 x4



> Which value of energy does entry 3 give?

-3.68 eV/atom



> What is the formula in the first record?

NaLi2LaPt